[1]
Below is crystalline NaCa3La at its relaxed geometry, with properties calculated at the PBE level.

```
data_NaCa3La
_symmetry_space_group_name_H-M 'P m -3 m'
_symmetry_Int_Tables_number 221
_symmetry_space_group_name_Hall '-P 4 2 3'
_cell_length_a 6.355
_cell_length_b 6.355
_cell_length_c 6.355
_cell_angle_alpha 90.00
_cell_angle_beta 90.00
_cell_angle_gamma 90.00
loop_
_atom_site_label
_atom_site_fract_x
_atom_site_fract_y
_atom_site_fract_z
Na1 0.000 0.000 0.000
Ca1 0.000 0.500 0.500
La1 0.500 0.500 0.500
```

Summary:
* E above lowest polymorph: 291.7 meV/atom
* size of the total moment: 2.0 μB per formula unit

---

[2]
Below is crystalline NaCa3La at its relaxed geometry, with properties calculated at the PBE level.

```
data_NaCa3La
_symmetry_space_group_name_H-M 'P m -3 m'
_symmetry_Int_Tables_number 221
_symmetry_space_group_name_Hall '-P 4 2 3'
_cell_length_a 5.971
_cell_length_b 5.971
_cell_length_c 5.971
_cell_angle_alpha 90.00
_cell_angle_beta 90.00
_cell_angle_gamma 90.00
loop_
_atom_site_label
_atom_site_fract_x
_atom_site_fract_y
_atom_site_fract_z
Na1 0.000 0.000 0.000
Ca1 0.000 0.000 0.500
La1 0.500 0.500 0.500
```

Summary:
* E above lowest polymorph: 0.0 meV/atom
* size of the total moment: 1.8 μB per formula unit